*one*
The following is a PBE-GGA calculation of Nd3Sm6Th after structural relaxation, from Alexandria via LeMat-Bulk.

Lattice parameters (Å, degrees): 11.639 6.707 9.797 90.00 115.22 90.00
Space group C2/m (No. 12)
Unique sites:
Nd (0.000, 0.000, 0.000)
Nd (0.066, 0.000, 0.690)
Sm (0.139, 0.500, 0.917)
Sm (0.187, 0.256, 0.317)
Th (0.000, 0.500, 0.500)

=====

*two*
The following is a PBE-GGA calculation of Nd3Sm6Th after structural relaxation, from Alexandria via LeMat-Bulk.

Lattice parameters (Å, degrees): 11.365 19.394 6.306 90.00 90.00 90.00
Space group Cmc2_1 (No. 36)
Unique sites:
Nd (0.000, 0.115, 0.000)
Nd (0.173, 0.387, 0.390)
Sm (0.000, 0.226, 0.562)
Sm (0.000, 0.456, 0.833)
Sm (0.165, 0.043, 0.470)
Sm (0.245, 0.209, 0.312)
Th (0.000, 0.297, 0.048)

=====

Most stable structure - *two*; separation to the second - 66 meV/atom.

=====

*one*
The following is a PBE-GGA calculation of Nd3Sm4Th2 after structural relaxation, from Alexandria via LeMat-Bulk.

Lattice parameters (Å, degrees): 7.163 8.594 10.502 98.62 99.74 102.08
Space group P-1 (No. 2)
Unique sites:
Nd (0.031, 0.169, 0.448)
Nd (0.255, 0.503, 0.994)
Nd (0.362, 0.171, 0.770)
Sm (0.064, 0.842, 0.893)
Sm (0.143, 0.832, 0.236)
Sm (0.329, 0.476, 0.337)
Sm (0.472, 0.834, 0.558)
Th (0.171, 0.527, 0.660)
Th (0.446, 0.160, 0.110)

=====

*two*
The following is a PBE-GGA calculation of Nd3Sm4Th2 after structural relaxation, from Alexandria via LeMat-Bulk.

Lattice parameters (Å, degrees): 3.6076 3.6076 27.3180 90.00 90.00 120.00
Space group P3m1 (No. 156)
Unique sites:
Nd (0.0000, 0.0000, 0.0000)
Nd (0.0000, 0.0000, 0.3406)
Nd (0.6667, 0.3333, 0.6712)
Sm (0.0000, 0.0000, 0.5608)
Sm (0.0000, 0.0000, 0.7826)
Sm (0.6667, 0.3333, 0.2340)
Sm (0.6667, 0.3333, 0.4536)
Th (0.6667, 0.3333, 0.1102)
Th (0.6667, 0.3333, 0.8896)

=====

Most stable structure - *one*; separation to the second - 27 meV/atom.

=====

*one*
The following is a PBE-GGA calculation of Nd3SmTh after structural relaxation, from Alexandria via LeMat-Bulk.

Lattice parameters (Å, degrees): 13.689 3.573 14.990 90.00 110.72 90.00
Space group C2/m (No. 12)
Unique sites:
Nd (0.032, 0.000, 0.405)
Nd (0.066, 0.500, 0.205)
Nd (0.135, 0.000, 0.009)
Sm (0.178, 0.000, 0.792)
Th (0.222, 0.500, 0.597)

=====

*two*
The following is a PBE-GGA calculation of Nd3SmTh after structural relaxation, from Alexandria via LeMat-Bulk.

Lattice parameters (Å, degrees): 3.6540 3.6540 29.6923 90.00 90.00 120.00
Space group P6_3mc (No. 186)
Unique sites:
Nd (0.0000, 0.0000, 0.0000)
Nd (0.3333, 0.6667, 0.1045)
Nd (0.3333, 0.6667, 0.7972)
Sm (0.3333, 0.6667, 0.4015)
Th (0.0000, 0.0000, 0.2006)

=====

Most stable structure - *two*; separation to the second - 35 meV/atom.

=====

*one*
The following is a PBE-GGA calculation of Nd7Sm4Th after structural relaxation, from Alexandria via LeMat-Bulk.

Lattice parameters (Å, degrees): 6.384 7.354 9.126 89.98 76.38 89.94
Space group P-1 (No. 2)
Unique sites:
Nd (0.000, 0.000, 0.000)
Nd (0.217, 0.501, 0.328)
Nd (0.276, 0.747, 0.670)
Nd (0.500, 0.254, 0.000)
Sm (0.221, 0.000, 0.336)
Sm (0.276, 0.252, 0.672)
Th (0.000, 0.500, 0.000)

=====

*two*
The following is a PBE-GGA calculation of Nd7Sm4Th after structural relaxation, from Alexandria via LeMat-Bulk.

Lattice parameters (Å, degrees): 12.247 6.132 12.938 90.00 118.05 90.00
Space group C2/m (No. 12)
Unique sites:
Nd (0.000, 0.000, 0.000)
Nd (0.129, 0.500, 0.500)
Nd (0.209, 0.000, 0.921)
Nd (0.240, 0.000, 0.678)
Sm (0.065, 0.000, 0.321)
Sm (0.137, 0.500, 0.777)
Th (0.000, 0.500, 0.000)

=====

Most stable structure - *one*; separation to the second - 241 meV/atom.

=====

*one*
The following is a PBE-GGA calculation of Nd4Sm3Th2 after structural relaxation, from Alexandria via LeMat-Bulk.

Lattice parameters (Å, degrees): 19.052 3.665 9.762 90.00 115.53 90.00
Space group C2/m (No. 12)
Unique sites:
Nd (0.016, 0.000, 0.329)
Nd (0.184, 0.500, 0.323)
Sm (0.000, 0.500, 0.000)
Sm (0.151, 0.500, 0.676)
Th (0.169, 0.000, 0.000)

=====

*two*
The following is a PBE-GGA calculation of Nd4Sm3Th2 after structural relaxation, from Alexandria via LeMat-Bulk.

Lattice parameters (Å, degrees): 3.6119 3.6119 27.3837 90.00 90.00 120.00
Space group P3m1 (No. 156)
Unique sites:
Nd (0.0000, 0.0000, 0.0000)
Nd (0.0000, 0.0000, 0.2182)
Nd (0.3333, 0.6667, 0.3296)
Nd (0.3333, 0.6667, 0.5501)
Sm (0.0000, 0.0000, 0.4389)
Sm (0.3333, 0.6667, 0.1071)
Sm (0.3333, 0.6667, 0.7674)
Th (0.0000, 0.0000, 0.6587)
Th (0.0000, 0.0000, 0.8754)

=====

Most stable structure - *one*; separation to the second - 68 meV/atom.

=====

*one*
The following is a PBE-GGA calculation of Nd4Sm7Th after structural relaxation, from Alexandria via LeMat-Bulk.

Lattice parameters (Å, degrees): 6.355 7.328 9.104 90.02 103.55 90.05
Space group P-1 (No. 2)
Unique sites:
Nd (0.223, 0.001, 0.165)
Nd (0.277, 0.254, 0.829)
Sm (0.000, 0.000, 0.500)
Sm (0.216, 0.501, 0.173)
Sm (0.276, 0.745, 0.828)
Sm (0.500, 0.256, 0.500)
Th (0.000, 0.500, 0.500)

=====

*two*
The following is a PBE-GGA calculation of Nd4Sm7Th after structural relaxation, from Alexandria via LeMat-Bulk.

Lattice parameters (Å, degrees): 12.229 6.092 12.914 90.00 117.82 90.00
Space group C2/m (No. 12)
Unique sites:
Nd (0.062, 0.000, 0.326)
Nd (0.138, 0.500, 0.777)
Sm (0.000, 0.000, 0.000)
Sm (0.132, 0.500, 0.502)
Sm (0.210, 0.000, 0.923)
Sm (0.245, 0.000, 0.681)
Th (0.000, 0.500, 0.000)

=====

Most stable structure - *one*; separation to the second - 246 meV/atom.

=====

*one*
The following is a PBE-GGA calculation of Nd3Sm3Th2 after structural relaxation, from Alexandria via LeMat-Bulk.

Lattice parameters (Å, degrees): 5.111 5.113 20.842 90.00 90.00 90.00
Space group Immm (No. 71)
Unique sites:
Nd (0.000, 0.000, 0.000)
Nd (0.000, 0.500, 0.129)
Sm (0.000, 0.000, 0.500)
Sm (0.000, 0.500, 0.371)
Th (0.000, 0.000, 0.250)

=====

*two*
The following is a PBE-GGA calculation of Nd3Sm3Th2 after structural relaxation, from Alexandria via LeMat-Bulk.

Lattice parameters (Å, degrees): 6.290 6.293 8.124 104.79 105.02 109.61
Space group P-1 (No. 2)
Unique sites:
Nd (0.000, 0.000, 0.000)
Nd (0.131, 0.631, 0.261)
Sm (0.371, 0.870, 0.741)
Sm (0.500, 0.500, 0.000)
Th (0.250, 0.251, 0.501)

=====

Most stable structure - *one*; separation to the second - 10 meV/atom.

=====

*one*
The following is a PBE-GGA calculation of Nd2SmTh2 after structural relaxation, from Alexandria via LeMat-Bulk.

Lattice parameters (Å, degrees): 3.615 3.615 25.869 90.00 90.00 90.00
Space group I4/mmm (No. 139)
Unique sites:
Nd (0.000, 0.000, 0.104)
Sm (0.000, 0.000, 0.500)
Th (0.000, 0.000, 0.297)

=====

*two*
The following is a PBE-GGA calculation of Nd2SmTh2 after structural relaxation, from Alexandria via LeMat-Bulk.

Lattice parameters (Å, degrees): 4.755 4.755 15.942 90.00 90.00 90.00
Space group I4/mmm (No. 139)
Unique sites:
Nd (0.000, 0.000, 0.098)
Sm (0.000, 0.000, 0.500)
Th (0.000, 0.500, 0.250)

=====

Most stable structure - *one*; separation to the second - 354 meV/atom.

=====

*one*
The following is a PBE-GGA calculation of Nd2Sm8Th after structural relaxation, from Alexandria via LeMat-Bulk.

Lattice parameters (Å, degrees): 19.458 6.933 5.736 90.00 94.52 90.00
Space group C2/m (No. 12)
Unique sites:
Nd (0.219, 0.000, 0.255)
Sm (0.048, 0.000, 0.228)
Sm (0.126, 0.240, 0.723)
Sm (0.182, 0.500, 0.222)
Th (0.000, 0.500, 0.000)

=====

*two*
The following is a PBE-GGA calculation of Nd2Sm8Th after structural relaxation, from Alexandria via LeMat-Bulk.

Lattice parameters (Å, degrees): 18.529 5.136 8.137 90.00 105.19 90.00
Space group C2/m (No. 12)
Unique sites:
Nd (0.228, 0.000, 0.137)
Sm (0.044, 0.000, 0.234)
Sm (0.090, 0.500, 0.950)
Sm (0.134, 0.000, 0.677)
Sm (0.179, 0.500, 0.408)
Th (0.000, 0.500, 0.500)

=====

Most stable structure - *two*; separation to the second - 170 meV/atom.

=====

*one*
The following is a PBE-GGA calculation of NdSmTmTh after structural relaxation, from Alexandria via LeMat-Bulk.

Lattice parameters (Å, degrees): 8.079 8.079 8.079 90.00 90.00 90.00
Space group F-43m (No. 216)
Unique sites:
Nd (0.000, 0.000, 0.000)
Sm (0.250, 0.250, 0.250)
Tm (0.250, 0.250, 0.750)
Th (0.000, 0.000, 0.500)

=====

*two*
The following is a PBE-GGA calculation of NdSmTmTh after structural relaxation, from Alexandria via LeMat-Bulk.

Lattice parameters (Å, degrees): 3.6070 3.6070 34.8888 90.00 90.00 120.00
Space group R3m (No. 160, hexagonal axes)
Unique sites:
Nd (0.0000, 0.0000, 0.0000)
Sm (0.0000, 0.0000, 0.2456)
Tm (0.0000, 0.0000, 0.4175)
Th (0.0000, 0.0000, 0.8308)

=====

Most stable structure - *two*; separation to the second - 137 meV/atom.

=====

*one*
The following is a PBE-GGA calculation of NdSmYTh after structural relaxation, from Alexandria via LeMat-Bulk.

Lattice parameters (Å, degrees): 8.128 8.128 8.128 90.00 90.00 90.00
Space group F-43m (No. 216)
Unique sites:
Nd (0.000, 0.000, 0.000)
Sm (0.000, 0.000, 0.500)
Y (0.250, 0.250, 0.750)
Th (0.250, 0.250, 0.250)

=====

*two*
The following is a PBE-GGA calculation of NdSmYTh after structural relaxation, from Alexandria via LeMat-Bulk.

Lattice parameters (Å, degrees): 3.6321 3.6321 35.1125 90.00 90.00 120.00
Space group R3m (No. 160, hexagonal axes)
Unique sites:
Nd (0.0000, 0.0000, 0.0000)
Sm (0.0000, 0.0000, 0.8305)
Y (0.0000, 0.0000, 0.2484)
Th (0.0000, 0.0000, 0.4157)

=====

Most stable structure - *two*; separation to the second - 179 meV/atom.